1.
# ZrWC, optimized geometry, DFT PBE
data_ZrWC
_chemical_formula_sum 'Zr1 W1 C1'
_symmetry_space_group_name_H-M 'P 1'
_symmetry_Int_Tables_number 1
_cell_length_a 5.4677
_cell_length_b 5.4677
_cell_length_c 5.4677
_cell_angle_alpha 148.96
_cell_angle_beta 148.96
_cell_angle_gamma 44.47
loop_
_symmetry_equiv_pos_as_xyz
'x,y,z'
loop_
_atom_site_label
_atom_site_type_symbol
_atom_site_fract_x
_atom_site_fract_y
_atom_site_fract_z
C1 C 0.9542 0.9542 0.0000
W1 W 0.3844 0.3844 0.0000
Zr1 Zr 0.6614 0.6614 0.0000
# Magnetic moment in μB per formula unit: 0.0
# Excess energy over the best structure of this formula in the dataset in meV/atom: 566
# ΔE_f in kJ/mol of formula units: 72


2.
# ZrWC, optimized geometry, DFT PBE
data_ZrWC
_chemical_formula_sum 'Zr1 W1 C1'
_symmetry_space_group_name_H-M 'P 1'
_symmetry_Int_Tables_number 1
_cell_length_a 3.9574
_cell_length_b 3.9574
_cell_length_c 3.9574
_cell_angle_alpha 60.00
_cell_angle_beta 60.00
_cell_angle_gamma 60.00
loop_
_symmetry_equiv_pos_as_xyz
'x,y,z'
loop_
_atom_site_label
_atom_site_type_symbol
_atom_site_fract_x
_atom_site_fract_y
_atom_site_fract_z
Zr1 Zr 0.5000 0.5000 0.5000
W1 W 0.0000 0.0000 0.0000
C1 C 0.7500 0.7500 0.7500
# Magnetic moment in μB per formula unit: 0.0
# Excess energy over the best structure of this formula in the dataset in meV/atom: 819
# ΔE_f in kJ/mol of formula units: 145


3.
# ZrWC2, optimized geometry, DFT PBE
data_ZrWC2
_chemical_formula_sum 'Zr1 W1 C2'
_symmetry_space_group_name_H-M 'P 1'
_symmetry_Int_Tables_number 1
_cell_length_a 3.1926
_cell_length_b 5.1900
_cell_length_c 3.0903
_cell_angle_alpha 90.00
_cell_angle_beta 90.00
_cell_angle_gamma 90.00
loop_
_symmetry_equiv_pos_as_xyz
'x,y,z'
loop_
_atom_site_label
_atom_site_type_symbol
_atom_site_fract_x
_atom_site_fract_y
_atom_site_fract_z
W1 W 0.5000 0.0000 0.5000
Zr1 Zr 0.0000 0.5000 0.5000
C1 C 0.5000 0.5000 0.0000
C2 C 0.0000 0.0000 0.0000
# Magnetic moment in μB per formula unit: 0.0
# Excess energy over the best structure of this formula in the dataset in meV/atom: 933
# ΔE_f in kJ/mol of formula units: 220


4.
# ZrW2C, optimized geometry, DFT PBE
data_ZrW2C
_chemical_formula_sum 'Zr1 W2 C1'
_symmetry_space_group_name_H-M 'P 1'
_symmetry_Int_Tables_number 1
_cell_length_a 5.2670
_cell_length_b 5.2670
_cell_length_c 5.0273
_cell_angle_alpha 56.04
_cell_angle_beta 56.04
_cell_angle_gamma 32.00
loop_
_symmetry_equiv_pos_as_xyz
'x,y,z'
loop_
_atom_site_label
_atom_site_type_symbol
_atom_site_fract_x
_atom_site_fract_y
_atom_site_fract_z
W1 W 0.2656 0.2656 0.1853
Zr1 Zr 0.4431 0.4431 0.5032
C1 C 0.7056 0.7056 0.9592
W2 W 0.0858 0.0858 0.8523
# Magnetic moment in μB per formula unit: 0.0
# ΔE_f in kJ/mol of formula units: 52


5.
# ZrWC2, optimized geometry, DFT PBE
data_ZrWC2
_chemical_formula_sum 'Zr1 W1 C2'
_symmetry_space_group_name_H-M 'P 1'
_symmetry_Int_Tables_number 1
_cell_length_a 5.5624
_cell_length_b 5.5624
_cell_length_c 5.5624
_cell_angle_alpha 33.46
_cell_angle_beta 33.46
_cell_angle_gamma 33.46
loop_
_symmetry_equiv_pos_as_xyz
'x,y,z'
loop_
_atom_site_label
_atom_site_type_symbol
_atom_site_fract_x
_atom_site_fract_y
_atom_site_fract_z
C1 C 0.9940 0.9940 0.9940
W1 W 0.2500 0.2500 0.2500
Zr1 Zr 0.7500 0.7500 0.7500
C2 C 0.5060 0.5060 0.5060
# Magnetic moment in μB per formula unit: 0.0
# Excess energy over the best structure of this formula in the dataset in meV/atom: 0
# ΔE_f in kJ/mol of formula units: -140


6.
# ZrW2C, optimized geometry, DFT PBE
data_ZrW2C
_chemical_formula_sum 'Zr1 W2 C1'
_symmetry_space_group_name_H-M 'P 1'
_symmetry_Int_Tables_number 1
_cell_length_a 3.0386
_cell_length_b 4.8543
_cell_length_c 4.8539
_cell_angle_alpha 58.54
_cell_angle_beta 90.00
_cell_angle_gamma 90.00
loop_
_symmetry_equiv_pos_as_xyz
'x,y,z'
loop_
_atom_site_label
_atom_site_type_symbol
_atom_site_fract_x
_atom_site_fract_y
_atom_site_fract_z
W1 W 0.0000 0.5772 0.5773
W2 W 0.0000 0.9228 0.9227
C1 C 0.5000 0.7500 0.7500
Zr1 Zr 0.5000 0.2500 0.2500
# Magnetic moment in μB per formula unit: 0.0
# ΔE_f in kJ/mol of formula units: -54